Entry 1:
Na3HfTl3O8: optimized geometry, GGA-PBE.

## Properties
* crystal system: trigonal
* raw formation energy: -1.51 eV per atom
* space group: R-3m, No. 166

Lattice parameters (Å, degrees): 6.738 6.739 6.873 119.37 90.00 120.00
Element x y z (fractional)
Na 0.000 0.000 0.000
Na 0.000 0.500 0.000
Na 0.500 0.500 0.000
Hf 0.000 0.000 0.500
Tl 0.500 0.000 0.500
Tl 0.500 0.500 0.500
Tl 0.000 0.500 0.500
O 0.262 0.523 0.285
O 0.738 0.477 0.715
O 0.780 0.560 0.292
O 0.220 0.440 0.708
O 0.780 0.012 0.292
O 0.220 0.988 0.708
O 0.232 0.012 0.292
O 0.768 0.988 0.708


Entry 2:
Ag2RuAu: optimized geometry, GGA-PBE.

## Properties
* crystal system: tetragonal
* energy relative to the lowest polymorph listed for this composition: 490 meV per atom
* energy relative to the elements: 3.15 eV per formula unit
* space group: I-42d, No. 122

Lattice parameters (Å, degrees): 7.483 7.483 5.954 51.06 51.06 90.00
Element x y z (fractional)
Ru 0.500 0.500 0.000
Ru 0.250 0.750 0.500
Au 0.000 0.000 0.000
Au 0.750 0.250 0.500
Ag 0.621 0.125 0.250
Ag 0.129 0.625 0.250
Ag 0.375 0.379 0.750
Ag 0.875 0.871 0.750


Entry 3:
Li5PdPb6: optimized geometry, GGA-PBE.

## Properties
* crystal system: monoclinic
* energy relative to the elements: -3.07 eV per formula unit
* space group: P2/m, No. 10

Lattice parameters (Å, degrees): 4.971 7.143 7.858 90.00 72.84 90.00
Element x y z (fractional)
Pb 0.835 0.755 0.329
Pb 0.835 0.245 0.329
Pb 0.500 0.241 0.000
Pb 0.500 0.759 0.000
Pb 0.165 0.755 0.671
Pb 0.165 0.245 0.671
Pd 0.000 0.000 0.000
Li 0.664 0.500 0.670
Li 0.332 0.000 0.335
Li 0.000 0.500 0.000
Li 0.668 0.000 0.665
Li 0.336 0.500 0.330


Entry 4:
LiNd2PaAs4: optimized geometry, GGA-PBE.

## Properties
* crystal system: monoclinic
* energy relative to the elements: -8.68 eV per formula unit
* space group: P2/m, No. 10

Lattice parameters (Å, degrees): 4.231 7.130 7.226 108.95 90.00 90.00
Element x y z (fractional)
Li 0.500 0.500 0.000
Nd 0.500 0.000 0.500
Nd 0.000 0.500 0.500
Pa 0.000 0.000 0.000
As 0.500 0.243 0.233
As 0.500 0.757 0.767
As 0.000 0.243 0.764
As 0.000 0.757 0.236


Entry 5:
Si2AsBr: optimized geometry, GGA-PBE.

## Properties
* crystal system: tetragonal
* energy relative to the lowest polymorph listed for this composition: 601 meV per atom
* raw formation energy: 0.66 eV per atom
* space group: I-4m2, No. 119

Lattice parameters (Å, degrees): 6.915 6.915 6.915 148.83 148.83 44.66
Element x y z (fractional)
As 0.500 0.500 0.000
Br 0.750 0.250 0.500
Si 0.000 0.000 0.000
Si 0.250 0.750 0.500


Entry 6:
NaBi6O12: optimized geometry, GGA-PBE.

## Properties
* crystal system: trigonal
* raw formation energy: -1.02 eV per atom
* space group: R-3, No. 148

Lattice parameters (Å, degrees): 6.751 6.751 6.751 98.59 98.59 98.59
Element x y z (fractional)
Na 0.000 0.000 0.000
Bi 0.716 0.877 0.414
Bi 0.586 0.284 0.123
Bi 0.123 0.586 0.284
Bi 0.284 0.123 0.586
Bi 0.414 0.716 0.877
Bi 0.877 0.414 0.716
O 0.829 0.583 0.450
O 0.450 0.829 0.583
O 0.583 0.450 0.829
O 0.171 0.417 0.550
O 0.550 0.171 0.417
O 0.417 0.550 0.171
O 0.071 0.912 0.335
O 0.088 0.665 0.929
O 0.665 0.929 0.088
O 0.929 0.088 0.665
O 0.912 0.335 0.071
O 0.335 0.071 0.912


Entry 7:
ThZr2Au: optimized geometry, GGA-PBE.

## Properties
* crystal system: tetragonal
* energy relative to the lowest polymorph listed for this composition: 75 meV per atom
* energy relative to the elements: -0.64 eV per formula unit
* space group: P4/mmm, No. 123

Lattice parameters (Å, degrees): 4.503 4.574 4.574 90.00 90.00 90.00
Element x y z (fractional)
Au 0.500 0.500 0.500
Zr 0.000 0.000 0.500
Zr 0.000 0.500 0.000
Th 0.500 0.000 0.000


Entry 8:
La6C3BrF2: optimized geometry, GGA-PBE.

## Properties
* crystal system: monoclinic
* raw formation energy: -1.23 eV per atom
* space group: C2/m, No. 12

Lattice parameters (Å, degrees): 3.843 8.197 9.140 108.63 102.14 90.00
Element x y z (fractional)
La 0.319 0.933 0.638
La 0.660 0.602 0.319
La 0.681 0.067 0.362
La 0.989 0.283 0.978
La 0.011 0.717 0.022
La 0.340 0.398 0.681
C 0.500 0.500 0.000
C 0.833 0.173 0.665
C 0.167 0.827 0.335
Br 0.500 0.000 0.000
F 0.818 0.657 0.635
F 0.182 0.343 0.365


Entry 9:
Tl2HgCl: optimized geometry, GGA-PBE.

## Properties
* crystal system: cubic
* energy relative to the lowest polymorph listed for this composition: 95 meV per atom
* raw formation energy: -0.35 eV per atom
* space group: Fm-3m, No. 225

Lattice parameters (Å, degrees): 5.541 5.541 5.541 60.00 60.00 60.00
Element x y z (fractional)
Tl 0.250 0.250 0.250
Tl 0.750 0.750 0.750
Hg 0.500 0.500 0.500
Cl 0.000 0.000 0.000


Entry 10:
Nd2HoPb: optimized geometry, GGA-PBE.

## Properties
* crystal system: cubic
* energy relative to the lowest polymorph listed for this composition: 164 meV per atom
* energy relative to the elements: -0.59 eV per formula unit
* space group: Fm-3m, No. 225

Lattice parameters (Å, degrees): 5.595 5.595 5.595 60.00 60.00 60.00
Element x y z (fractional)
Pb 0.500 0.500 0.500
Nd 0.250 0.250 0.250
Nd 0.750 0.750 0.750
Ho 0.000 0.000 0.000


Entry 11:
PaGaCuO6: optimized geometry, GGA-PBE.

## Properties
* crystal system: tetragonal
* raw formation energy: -1.82 eV per atom
* space group: P4_2nm, No. 102

Lattice parameters (Å, degrees): 4.876 4.876 9.223 90.00 90.00 90.00
Element x y z (fractional)
Pa 0.500 0.500 0.166
Pa 0.000 0.000 0.666
Ga 0.500 0.500 0.832
Ga 0.000 0.000 0.332
Cu 0.500 0.500 0.503
Cu 0.000 0.000 0.003
O 0.195 0.805 0.490
O 0.805 0.195 0.490
O 0.305 0.305 0.990
O 0.695 0.695 0.990
O 0.176 0.824 0.164
O 0.824 0.176 0.164
O 0.324 0.324 0.664
O 0.676 0.676 0.664
O 0.807 0.193 0.846
O 0.193 0.807 0.846
O 0.693 0.693 0.346
O 0.307 0.307 0.346


Entry 12:
ZrCd3Si: optimized geometry, GGA-PBE.

## Properties
* crystal system: cubic
* energy relative to the lowest polymorph listed for this composition: 0 meV per atom
* raw formation energy: 0.70 eV per atom
* space group: Pm-3m, No. 221

Lattice parameters (Å, degrees): 4.970 4.970 4.970 90.00 90.00 90.00
Element x y z (fractional)
Si 0.000 0.000 0.000
Zr 0.500 0.500 0.500
Cd 0.000 0.500 0.000
Cd 0.000 0.000 0.500
Cd 0.500 0.000 0.000